First-principles (PBE-GGA) data for an optimized crystal structure of CaY2Ta2, as listed in the Alexandria database.

Lattice parameters (Å, degrees): 9.115 9.115 3.194 90.00 90.00 90.00
Each line ends with the local moment (μB).
Fractional coordinates of all 10 atoms:
Y (0.315, 0.815, 0.000)  0.02
Y (0.815, 0.685, 0.000)  0.02
Y (0.685, 0.185, 0.000)  0.02
Y (0.185, 0.315, 0.000)  0.02
Ca (0.000, 0.000, 0.000)  0.01
Ca (0.500, 0.500, 0.000)  0.01
Ta (0.104, 0.604, 0.500)  0.11
Ta (0.604, 0.896, 0.500)  0.11
Ta (0.896, 0.396, 0.500)  0.11
Ta (0.396, 0.104, 0.500)  0.11

Results
Spin magnetization, μB/atom: 0.0920
Formation energy from the elements, kJ per mole of atoms: 51.19
Polymorph energy (0 for the lowest one), eV/f.u.: 0.00